## Tl2InGa3 (PBE)

Data for crystalline Tl2InGa3 at its relaxed geometry.

Structure (extended XYZ):
```
6
Lattice="-2.5016 -1.2341 4.9884 4.4578 -3.1477 -1.6988 3.3304 5.1612 -0.2503" Properties=species:S:1:pos:R:3 pbc="T T T"
Tl 0.2676 -1.4127 3.1039
Tl 5.0190 2.1920 -0.0646
In 0.0000 0.0000 0.0000
Ga 2.6433 0.3897 1.5197
Ga 1.6652 2.5806 -0.1251
Ga 0.4144 1.9635 2.3691
```

Calculated values
V, A^3/atom: 24.79
VASP energy, Ry per atom: -0.1988
Space group: No. 12
ρ, g cm⁻³: 8.18
Density of states at the Fermi level, states/eV per cell: 2.61
Formation energy, kJ per mole of atoms: 5.19
Size of the total moment, μB/cell: 0.00

---

## TiNb2HPt (PBE)

Data for crystalline TiNb2HPt at its relaxed geometry.

Structure (extended XYZ):
```
5
Lattice="-0.6198 3.7278 1.3855 -3.2788 -1.2726 1.9571 2.4214 -0.8900 3.4778" Properties=species:S:1:pos:R:3 pbc="T T T"
H 0.0000 0.0000 0.0000
Nb -1.6394 -0.6363 0.9786
Nb -0.3099 1.8639 0.6927
Pt -0.7386 0.7826 3.4102
Ti 1.2107 -0.4450 1.7389
```

Calculated values
Relative energy among the computed polymorphs, meV/atom: 0
V, A^3/atom: 14.03
VASP energy, Ry per atom: -0.5782
Space group: No. 123
ρ, g cm⁻³: 10.17
Density of states at the Fermi level, states/eV per cell: 4.27
Size of the total moment, μB/cell: 0.00

---

## Pr2Er5Sc2 (PBE)

Data for crystalline Pr2Er5Sc2 at its relaxed geometry.

Structure (extended XYZ):
```
18
Lattice="12.5736 0.0000 0.0000 0.0000 5.9099 0.0000 -6.2868 -2.9549 7.5773" Properties=species:S:1:pos:R:3 pbc="T T T"
Pr 0.0000 5.0327 0.0000
Pr 6.2868 2.0778 0.0000
Pr -0.5902 -0.0980 3.7887
Pr 6.8769 2.8569 3.7887
Er -2.2705 1.8497 6.9436
Er 8.5573 4.8046 0.6338
Er -4.0162 -1.1052 6.9436
Er 10.3030 1.8497 0.6338
Er 2.4204 -0.1586 2.1595
Er 3.8663 2.7963 5.4179
Er 3.8663 2.7963 2.1595
Er 2.4205 -0.1586 5.4179
Er -2.3114 3.0555 3.7887
Er 8.5982 0.1006 3.7887
Sc 0.6423 2.6940 2.2135
Sc 5.6445 -0.2609 5.3639
Sc 5.6445 -0.2609 2.2134
Sc 0.6423 2.6940 5.3639
```

Calculated values
Relative energy among the computed polymorphs, meV/atom: 145
V, A^3/atom: 31.28
VASP energy, Ry per atom: -0.3539
Space group: No. 46
ρ, g cm⁻³: 7.13
Density of states at the Fermi level, states/eV per cell: 28.88
Formation energy, kJ per mole of atoms: 18.27
Size of the total moment, μB/cell: 0.00

---

## Ba2LaOs (PBE)

Data for crystalline Ba2LaOs at its relaxed geometry.

Structure (extended XYZ):
```
4
Lattice="4.6731 -0.0226 0.0159 2.3582 4.0345 0.0159 2.2840 1.3032 9.0302" Properties=species:S:1:pos:R:3 pbc="T T T"
Os 6.9937 3.9905 5.6551
Ba 2.2985 1.3115 8.1650
Ba 2.3145 1.3206 3.1446
La 4.6503 2.6534 5.6584
```

Calculated values
Relative energy among the computed polymorphs, meV/atom: 0
V, A^3/atom: 42.63
VASP energy, Ry per atom: -0.3533
Space group: No. 8
ρ, g cm⁻³: 5.88
Density of states at the Fermi level, states/eV per cell: 4.28
Formation energy, kJ per mole of atoms: 18.64
Size of the total moment, μB/cell: 0.65

---

## Pr2ZnGa4Au3 (PBE)

Data for crystalline Pr2ZnGa4Au3 at its relaxed geometry.

Structure (extended XYZ):
```
10
Lattice="4.4083 0.0000 0.0000 0.0000 4.4083 0.0000 0.0000 0.0000 10.6498" Properties=species:S:1:pos:R:3 pbc="T T T"
Pr 2.2042 0.0000 2.7087
Pr 0.0000 2.2042 7.9411
Zn 2.2042 2.2042 5.3249
Ga 2.2042 2.2042 0.0000
Ga 0.0000 0.0000 0.0000
Ga 2.2042 0.0000 6.7331
Ga 0.0000 2.2042 3.9166
Au 0.0000 0.0000 5.3249
Au 2.2042 0.0000 9.2517
Au 0.0000 2.2042 1.3981
```

Calculated values
V, A^3/atom: 20.70
VASP energy, Ry per atom: -0.2865
Space group: No. 115
ρ, g cm⁻³: 9.76
Density of states at the Fermi level, states/eV per cell: 5.24
Formation energy, kJ per mole of atoms: -59.96
Size of the total moment, μB/cell: 0.00

---

## Ac3Cd7Au4 (PBE)

Data for crystalline Ac3Cd7Au4 at its relaxed geometry.

Structure (extended XYZ):
```
14
Lattice="4.6009 0.0000 1.1607 1.6471 8.2935 3.1702 0.0712 0.2685 9.4171" Properties=species:S:1:pos:R:3 pbc="T T T"
Ac 1.7176 1.6981 2.8906
Ac 4.6015 6.8639 10.8574
Ac 0.8591 4.2810 6.2937
Cd 2.9106 7.0127 7.8608
Cd 2.6717 1.8903 8.8078
Cd 4.5976 3.3178 10.8730
Cd 3.4085 1.5493 5.8872
Cd 1.7216 5.2442 2.8750
Cd 0.0000 0.0000 0.0000
Cd 3.6474 6.6716 4.9402
Au 3.7977 3.8727 4.3447
Au 2.5215 4.6893 9.4033
Au 5.5566 7.6558 7.0714
Au 0.7625 0.9062 6.6766
```

Calculated values
V, A^3/atom: 25.37
VASP energy, Ry per atom: -0.2032
Space group: No. 12
ρ, g cm⁻³: 10.54
Density of states at the Fermi level, states/eV per cell: 7.44
Formation energy, kJ per mole of atoms: -47.27
Size of the total moment, μB/cell: 0.00

---

## RbTl2AsI6 (PBE)

Data for crystalline RbTl2AsI6 at its relaxed geometry.

Structure (extended XYZ):
```
10
Lattice="8.6465 0.0081 0.0018 4.3302 7.4827 0.0013 4.3268 2.4978 7.4038" Properties=species:S:1:pos:R:3 pbc="T T T"
Rb 12.9744 7.4910 4.0934
Tl 8.6548 4.9931 3.1215
Tl 4.3279 2.4989 7.1881
As 4.3254 2.4958 0.1247
I 6.7155 2.3473 1.7691
I 7.3257 7.9891 1.7732
I 11.9090 4.6550 1.7671
I 9.8032 7.0110 5.7667
I 9.8266 2.9861 5.7734
I 6.3295 4.9786 5.7688
```

Calculated values
Formation energy from raw total energies, eV per atom: -0.600
V, A^3/atom: 47.87
VASP energy, Ry per atom: -0.1885
Space group: No. 1
ρ, g cm⁻³: 4.62
Density of states at the Fermi level, states/eV per cell: 0.00
Size of the total moment, μB/cell: 0.00